[1]
The following is a DFT calculation (PBE-GGA) of a relaxed structure of LiGa7Pd2.

The value obtained for the energy of formation is -0.12 eV/atom.

The structure belongs to space group Cmmm (No. 65); the cell edges are 7.9867, 11.4286 and 4.8214 Å and the angles 90.00°, 90.00° and 90.00°. The asymmetric unit holds Li at (0.0000, 0.0000, 0.0000), Ga at (0.0000, 0.2761, 0.0000), Ga at (0.0000, 0.5000, 0.5000), Ga at (0.1950, 0.1123, 0.5000) and Pd at (0.0000, 0.2870, 0.5000).

[2]
The following is a DFT calculation (PBE-GGA) of a relaxed structure of SrCa14Pr.

The value obtained for the energy of formation is 0.03 eV/atom.

The structure belongs to space group Amm2 (No. 38); the cell edges are 12.8035, 7.7954 and 13.5278 Å and the angles 90.00°, 90.00° and 90.00°. The asymmetric unit holds Sr at (0.0000, 0.0000, 0.0000), Ca at (0.0000, 0.2489, 0.2500), Ca at (0.2462, 0.0000, 0.6642), Ca at (0.2500, 0.2461, 0.4156), Ca at (0.2523, 0.0000, 0.1664), Ca at (0.5000, 0.0000, 0.3311), Ca at (0.5000, 0.0000, 0.8309), Ca at (0.5000, 0.2505, 0.0818) and Pr at (0.0000, 0.0000, 0.5000).

[3]
The following is a DFT calculation (PBE-GGA) of a relaxed structure of CePmCd3.

The value obtained for the energy of formation is -0.25 eV/atom. The polymorph energy (0 for the lowest one) is 0 meV/atom.

The structure belongs to space group Cmcm (No. 63); the cell edges are 3.3819, 30.4288 and 5.0888 Å and the angles 90.00°, 90.00° and 90.00°. The asymmetric unit holds Ce at (0.0000, 0.0734, 0.2500), Pm at (0.0000, 0.2140, 0.7500), Cd at (0.0000, 0.3267, 0.7500), Cd at (0.0000, 0.3796, 0.2500) and Cd at (0.0000, 0.4762, 0.2500).

[4]
The following is a DFT calculation (PBE-GGA) of a relaxed structure of TaBeZn2P.

The value obtained for the energy of formation is 0.70 eV/atom.

The structure belongs to space group P4/mmm (No. 123); the cell edges are 4.2217, 4.2217 and 4.1764 Å and the angles 90.00°, 90.00° and 90.00°. The asymmetric unit holds Ta at (0.0000, 0.0000, 0.0000), Be at (0.5000, 0.5000, 0.5000), Zn at (0.0000, 0.5000, 0.5000) and P at (0.5000, 0.5000, 0.0000).

[5]
The following is a DFT calculation (PBE-GGA) of a relaxed structure of FeOs2Rh.

The value obtained for the energy of formation is 0.13 eV/atom. The polymorph energy (0 for the lowest one) is 56 meV/atom.

The structure belongs to space group R-3m (No. 166, hexagonal axes); the cell edges are 2.6970, 2.6970 and 26.1133 Å and the angles 90.00°, 90.00° and 120.00°. The asymmetric unit holds Fe at (0.0000, 0.0000, 0.0000), Os at (0.0000, 0.0000, 0.2527) and Rh at (0.0000, 0.0000, 0.5000).

[6]
The following is a DFT calculation (PBE-GGA) of a relaxed structure of Ac2MnGa7.

The value obtained for the energy of formation is -0.43 eV/atom.

The structure belongs to space group P-4m2 (No. 115); the cell edges are 4.4192, 4.4192 and 11.0005 Å and the angles 90.00°, 90.00° and 90.00°. The asymmetric unit holds Ac at (0.0000, 0.5000, 0.2494), Mn at (0.0000, 0.0000, 0.5000), Ga at (0.0000, 0.0000, 0.0000), Ga at (0.0000, 0.5000, 0.6277), Ga at (0.0000, 0.5000, 0.8665), Ga at (0.5000, 0.5000, 0.0000) and Ga at (0.5000, 0.5000, 0.5000).

[7]
The following is a DFT calculation (PBE-GGA) of a relaxed structure of AlZn3Re.

The value obtained for the energy of formation is 1.41 eV/atom. The polymorph energy (0 for the lowest one) is 400 meV/atom.

The structure belongs to space group Pm-3m (No. 221); the cell edges are 4.6194, 4.6194 and 4.6194 Å and the angles 90.00°, 90.00° and 90.00°. The asymmetric unit holds Al at (0.0000, 0.0000, 0.0000), Zn at (0.0000, 0.0000, 0.5000) and Re at (0.5000, 0.5000, 0.5000).

[8]
The following is a DFT calculation (PBE-GGA) of a relaxed structure of TbTlPb3.

The value obtained for the energy of formation is -0.15 eV/atom. The polymorph energy (0 for the lowest one) is 0 meV/atom.

The structure belongs to space group P-1 (No. 2); the cell edges are 5.0809, 6.9094 and 9.1644 Å and the angles 81.50°, 74.15° and 89.94°. The asymmetric unit holds Tb at (0.0694, 0.2683, 0.3600), Tl at (0.3144, 0.6341, 0.8718), Pb at (0.1188, 0.7792, 0.2647), Pb at (0.2551, 0.1566, 0.9904), Pb at (0.5000, 0.0000, 0.5000) and Pb at (0.5000, 0.5000, 0.5000).

[9]
The following is a DFT calculation (PBE-GGA) of a relaxed structure of Zr2CdSbO8.

As for the formation energy without anion corrections: -2.161 eV/atom.

The structure belongs to space group Cmmm (No. 65); the cell edges are 6.9251, 6.9336 and 6.6692 Å and the angles 90.00°, 90.00° and 90.00°. The asymmetric unit holds Zr at (0.0000, 0.0000, 0.2473), Cd at (0.0000, 0.5000, 0.0000), Sb at (0.0000, 0.5000, 0.5000), O at (0.0000, 0.1828, 0.0000), O at (0.0000, 0.2047, 0.5000) and O at (0.1975, 0.5000, 0.2823).

[10]
The following is a DFT calculation (PBE-GGA) of a relaxed structure of CePu2Sb2Pd2.

As for the formation energy without anion corrections: -0.693 eV/atom.

The structure belongs to space group R-3m (No. 166, hexagonal axes); the cell edges are 4.7152, 4.7152 and 26.0846 Å and the angles 90.00°, 90.00° and 120.00°. The asymmetric unit holds Ce at (0.0000, 0.0000, 0.0000), Pu at (0.0000, 0.0000, 0.1426), Sb at (0.0000, 0.0000, 0.2654) and Pd at (0.0000, 0.0000, 0.4382).

[11]
The following is a DFT calculation (PBE-GGA) of a relaxed structure of GdTcH3.

The raw total energy comes out at -7.281 eV/atom.

The structure belongs to space group Pm-3m (No. 221); the cell edges are 3.6794, 3.6794 and 3.6794 Å and the angles 90.00°, 90.00° and 90.00°. The asymmetric unit holds Gd at (0.0000, 0.0000, 0.0000), Tc at (0.5000, 0.5000, 0.5000) and H at (0.0000, 0.5000, 0.5000).

[12]
The following is a DFT calculation (PBE-GGA) of a relaxed structure of NbCrAg3.

The value obtained for the energy of formation is 1.69 eV/atom. The polymorph energy (0 for the lowest one) is 37 meV/atom.

The structure belongs to space group Pm-3m (No. 221); the cell edges are 4.7022, 4.7022 and 4.7022 Å and the angles 90.00°, 90.00° and 90.00°. The asymmetric unit holds Nb at (0.0000, 0.0000, 0.0000), Cr at (0.5000, 0.5000, 0.5000) and Ag at (0.0000, 0.5000, 0.5000).